VASP calculation (PBE-GGA) on a relaxed structure of Pr8Pd3PtBr4.

The structure belongs to space group R-3m (No. 166, hexagonal axes); the cell edges are 8.5105, 8.5105 and 23.3929 Å and the angles 90.00°, 90.00° and 120.00°. The asymmetric unit holds Pr at (0.0000, 0.0000, 0.2338), Pr at (0.0027, 0.5013, 0.2335), Pd at (0.0000, 0.5000, 0.5000), Pt at (0.0000, 0.0000, 0.5000), Br at (0.0000, 0.0000, 0.0000) and Br at (0.0000, 0.5000, 0.0000).

As for the crystal system: trigonal.


VASP calculation (PBE-GGA) on a relaxed structure of Pr4PdPtBr2.

The structure belongs to space group P2/m (No. 10); the cell edges are 7.3611, 4.2725 and 8.1677 Å and the angles 90.00°, 107.54° and 90.00°. The asymmetric unit holds Pr at (0.2319, 0.0000, 0.1995), Pr at (0.2623, 0.5000, 0.7998), Pd at (0.5000, 0.0000, 0.0000), Pt at (0.0000, 0.5000, 0.0000), Br at (0.0000, 0.0000, 0.5000) and Br at (0.5000, 0.5000, 0.5000).

As for the crystal system: monoclinic.


VASP calculation (PBE-GGA) on a relaxed structure of Pr8Pd3RhBr4.

The structure belongs to space group C2/m (No. 12); the cell edges are 14.6418, 8.4541 and 9.2325 Å and the angles 90.00°, 121.96° and 90.00°. The asymmetric unit holds Pr at (0.0149, 0.2445, 0.3005), Pr at (0.2297, 0.0000, 0.6995), Pr at (0.2335, 0.5000, 0.7001), Pd at (0.0000, 0.5000, 0.5000), Pd at (0.2500, 0.2500, 0.5000), Rh at (0.0000, 0.0000, 0.5000), Br at (0.0000, 0.0000, 0.0000), Br at (0.0000, 0.5000, 0.0000) and Br at (0.2500, 0.2500, 0.0000).

As for the crystal system: monoclinic.


VASP calculation (PBE-GGA) on a relaxed structure of Pr6PdRh2Br3.

The structure belongs to space group C2/m (No. 12); the cell edges are 7.2485, 12.5528 and 8.2408 Å and the angles 90.00°, 107.02° and 90.00°. The asymmetric unit holds Pr at (0.2234, 0.0000, 0.1977), Pr at (0.2370, 0.3289, 0.1979), Pd at (0.0000, 0.5000, 0.0000), Rh at (0.0000, 0.1667, 0.0000), Br at (0.0000, 0.0000, 0.5000) and Br at (0.0000, 0.3322, 0.5000).

As for the crystal system: monoclinic.


VASP calculation (PBE-GGA) on a relaxed structure of Pr4PdRhBr2.

The structure belongs to space group P2/m (No. 10); the cell edges are 7.2897, 4.2023 and 8.2319 Å and the angles 90.00°, 107.32° and 90.00°. The asymmetric unit holds Pr at (0.2270, 0.0000, 0.1974), Pr at (0.2583, 0.5000, 0.8016), Pd at (0.5000, 0.0000, 0.0000), Rh at (0.0000, 0.5000, 0.0000), Br at (0.0000, 0.0000, 0.5000) and Br at (0.5000, 0.5000, 0.5000).

As for the crystal system: monoclinic.


VASP calculation (PBE-GGA) on a relaxed structure of Pr8PdS3Br4.

The structure belongs to space group R-3m (No. 166, hexagonal axes); the cell edges are 8.2976, 8.2976 and 22.2542 Å and the angles 90.00°, 90.00° and 120.00°. The asymmetric unit holds Pr at (0.0000, 0.0000, 0.2332), Pr at (0.0092, 0.5046, 0.7639), Pd at (0.0000, 0.0000, 0.5000), S at (0.0000, 0.5000, 0.5000), Br at (0.0000, 0.0000, 0.0000) and Br at (0.0000, 0.5000, 0.0000).

As for the crystal system: trigonal.


VASP calculation (PBE-GGA) on a relaxed structure of Pr6Pd2SBr3.

The structure belongs to space group C2/m (No. 12); the cell edges are 7.3937, 12.7170 and 7.7912 Å and the angles 90.00°, 108.28° and 90.00°. The asymmetric unit holds Pr at (0.2318, 0.0000, 0.2075), Pr at (0.2397, 0.3319, 0.2108), Pd at (0.0000, 0.1676, 0.0000), S at (0.0000, 0.5000, 0.0000), Br at (0.0000, 0.0000, 0.5000) and Br at (0.0000, 0.3390, 0.5000).

As for the crystal system: monoclinic.


VASP calculation (PBE-GGA) on a relaxed structure of Pr4PdSeBr2.

The structure belongs to space group P2/m (No. 10); the cell edges are 7.6045, 4.1653 and 7.7114 Å and the angles 90.00°, 107.69° and 90.00°. The asymmetric unit holds Pr at (0.2233, 0.0000, 0.2139), Pr at (0.2623, 0.5000, 0.7796), Pd at (0.0000, 0.5000, 0.0000), Se at (0.5000, 0.0000, 0.0000), Br at (0.0000, 0.0000, 0.5000) and Br at (0.5000, 0.5000, 0.5000).

As for the crystal system: monoclinic.


VASP calculation (PBE-GGA) on a relaxed structure of Pr4PdSe2Br.

The structure belongs to space group P2/m (No. 10); the cell edges are 7.4910, 4.1503 and 7.5550 Å and the angles 90.00°, 108.39° and 90.00°. The asymmetric unit holds Pr at (0.2347, 0.0000, 0.2435), Pr at (0.2355, 0.5000, 0.7334), Pd at (0.0000, 0.5000, 0.0000), Se at (0.0000, 0.0000, 0.5000), Se at (0.5000, 0.5000, 0.5000) and Br at (0.5000, 0.0000, 0.0000).

As for the crystal system: monoclinic.


VASP calculation (PBE-GGA) on a relaxed structure of Pr8Si3PdBr4.

The structure belongs to space group R-3m (No. 166, hexagonal axes); the cell edges are 8.6183, 8.6183 and 21.9751 Å and the angles 90.00°, 90.00° and 120.00°. The asymmetric unit holds Pr at (0.0000, 0.0000, 0.2382), Pr at (0.0026, 0.5013, 0.7620), Si at (0.0000, 0.5000, 0.5000), Pd at (0.0000, 0.0000, 0.5000), Br at (0.0000, 0.0000, 0.0000) and Br at (0.0000, 0.5000, 0.0000).

As for the crystal system: trigonal.


VASP calculation (PBE-GGA) on a relaxed structure of Pr3TePdBr.

The structure belongs to space group P2_1/m (No. 11); the cell edges are 7.6136, 4.2124 and 11.6236 Å and the angles 90.00°, 102.67° and 90.00°. The asymmetric unit holds Pr at (0.2069, 0.2500, 0.0064), Pr at (0.2226, 0.2500, 0.6159), Pr at (0.2611, 0.7500, 0.3183), Te at (0.0544, 0.7500, 0.8022), Pd at (0.4762, 0.7500, 0.5714) and Br at (0.4819, 0.7500, 0.1290).

As for the crystal system: monoclinic.


VASP calculation (PBE-GGA) on a relaxed structure of PdPt2Br.

The structure belongs to space group Fm-3m (No. 225); the cell edges are 6.4737, 6.4737 and 6.4737 Å and the angles 90.00°, 90.00° and 90.00°. The asymmetric unit holds Pd at (0.0000, 0.0000, 0.0000), Pt at (0.2500, 0.2500, 0.2500) and Br at (0.0000, 0.0000, 0.5000).

As for the crystal system: cubic.


VASP calculation (PBE-GGA) on a relaxed structure of PdPt3Br.

The structure belongs to space group Pm-3m (No. 221); the cell edges are 4.6844, 4.6844 and 4.6844 Å and the angles 90.00°, 90.00° and 90.00°. The asymmetric unit holds Pd at (0.0000, 0.0000, 0.0000), Pt at (0.0000, 0.5000, 0.5000) and Br at (0.5000, 0.5000, 0.5000).

As for the crystal system: cubic.


VASP calculation (PBE-GGA) on a relaxed structure of Pd2PtBr8.

The structure belongs to space group C2/m (No. 12); the cell edges are 11.0060, 8.8654 and 9.8914 Å and the angles 90.00°, 119.48° and 90.00°. The asymmetric unit holds Pd at (0.1910, 0.0000, 0.0953), Pt at (0.0000, 0.5000, 0.5000), Br at (0.0083, 0.0000, 0.1755), Br at (0.1514, 0.3107, 0.6811) and Br at (0.1517, 0.5000, 0.0116).

As for the crystal system: monoclinic.


VASP calculation (PBE-GGA) on a relaxed structure of PdPtBr2.

The structure belongs to space group Fm-3m (No. 225); the cell edges are 6.7360, 6.7360 and 6.7360 Å and the angles 90.00°, 90.00° and 90.00°. The asymmetric unit holds Pd at (0.0000, 0.0000, 0.0000), Pt at (0.0000, 0.0000, 0.5000) and Br at (0.2500, 0.2500, 0.2500).

As for the crystal system: cubic.


VASP calculation (PBE-GGA) on a relaxed structure of PdPt2Br.

The structure belongs to space group I-42d (No. 122); the cell edges are 7.3277, 7.3277 and 5.3899 Å and the angles 90.00°, 90.00° and 90.00°. The asymmetric unit holds Pd at (0.0000, 0.0000, 0.0000), Pt at (0.2423, 0.2500, 0.6250) and Br at (0.0000, 0.0000, 0.5000).

As for the crystal system: tetragonal.


VASP calculation (PBE-GGA) on a relaxed structure of PdPtBr.

The structure belongs to space group Amm2 (No. 38); the cell edges are 10.7540, 3.2121 and 6.9426 Å and the angles 90.00°, 90.00° and 90.00°. The asymmetric unit holds Pd at (0.0000, 0.0000, 0.0000), Pd at (0.5000, 0.0000, 0.0842), Pt at (0.1469, 0.0000, 0.2965) and Br at (0.3088, 0.0000, 0.5991).

As for the crystal system: orthorhombic.


VASP calculation (PBE-GGA) on a relaxed structure of PdPtBr2.

The structure belongs to space group I-42d (No. 122); the cell edges are 5.9538, 5.9538 and 11.7115 Å and the angles 90.00°, 90.00° and 90.00°. The asymmetric unit holds Pd at (0.0000, 0.0000, 0.0000), Pt at (0.0000, 0.0000, 0.5000) and Br at (0.2427, 0.2500, 0.6250).

As for the crystal system: tetragonal.


VASP calculation (PBE-GGA) on a relaxed structure of Pd2PtBr8.

The structure belongs to space group C2/m (No. 12); the cell edges are 12.9928, 8.5956 and 6.2669 Å and the angles 90.00°, 101.89° and 90.00°. The asymmetric unit holds Pd at (0.2180, 0.0000, 0.2026), Pt at (0.0000, 0.0000, 0.5000), Br at (0.0823, 0.1961, 0.2949), Br at (0.0985, 0.5000, 0.8030) and Br at (0.1780, 0.0000, 0.7947).

As for the crystal system: monoclinic.


VASP calculation (PBE-GGA) on a relaxed structure of PdPt3Br.

The structure belongs to space group Pm-3m (No. 221); the cell edges are 4.8943, 4.8943 and 4.8943 Å and the angles 90.00°, 90.00° and 90.00°. The asymmetric unit holds Pd at (0.0000, 0.0000, 0.0000), Pt at (0.0000, 0.0000, 0.5000) and Br at (0.5000, 0.5000, 0.5000).

As for the crystal system: cubic.


VASP calculation (PBE-GGA) on a relaxed structure of PdPtBr2.

The structure belongs to space group R-3m (No. 166, hexagonal axes); the cell edges are 3.7884, 3.7884 and 23.5783 Å and the angles 90.00°, 90.00° and 120.00°. The asymmetric unit holds Pd at (0.0000, 0.0000, 0.0000), Pt at (0.0000, 0.0000, 0.5000) and Br at (0.0000, 0.0000, 0.3991).

As for the crystal system: trigonal.


VASP calculation (PBE-GGA) on a relaxed structure of PdPt2RhBr.

The structure belongs to space group P4/mmm (No. 123); the cell edges are 4.6928, 4.6928 and 4.5462 Å and the angles 90.00°, 90.00° and 90.00°. The asymmetric unit holds Pd at (0.0000, 0.0000, 0.0000), Pt at (0.0000, 0.5000, 0.5000), Rh at (0.5000, 0.5000, 0.0000) and Br at (0.5000, 0.5000, 0.5000).

As for the crystal system: tetragonal.


VASP calculation (PBE-GGA) on a relaxed structure of PdPtSe2Br.

The structure belongs to space group P4/mmm (No. 123); the cell edges are 4.9428, 4.9428 and 5.1676 Å and the angles 90.00°, 90.00° and 90.00°. The asymmetric unit holds Pd at (0.0000, 0.0000, 0.0000), Pt at (0.5000, 0.5000, 0.5000), Se at (0.0000, 0.5000, 0.5000) and Br at (0.5000, 0.5000, 0.0000).

As for the crystal system: tetragonal.


no.,magnetic moment (μB per atom),formation energy (no corrections) (meV per atom)
1,0.0000,-1052
2,0.0000,-1115
3,0.0000,-1013
4,0.0000,-1051
5,0.0000,-1035
6,0.0000,-1435
7,0.0000,-1171
8,0.0000,-1237
9,0.0000,-1395
10,0.0000,-1037
11,0.0000,-1058
12,0.0000,592
13,0.0000,1193
14,0.0000,-152
15,0.0000,576
16,0.0000,529
17,0.0000,341
18,0.0000,381
19,0.0000,-61
20,0.2418,1438
21,0.0000,321
22,0.0000,1173
23,0.2432,616